The following is a DFT calculation (PBEsol) of a relaxed structure of ErAsPd.

Calculated values
For the calculated density, the calculation gives 10.619 g/cm3. Its density of states at the Fermi level is 0.06 states/eV/f.u. The calculation puts the formation energy at -1.239 eV per atom. The total energy comes out at -19.71 eV/f.u.

Cell lengths 6.886, 4.058, 7.803 Å; angles 90.00, 90.00, 90.00 degrees
Space group Pnma (No. 62)
One atom of each set of equivalent atoms:
1 Er 0.030 0.250 0.190 x4
2 As 0.249 0.250 0.879 x4
3 Pd 0.141 0.250 0.562 x4